[1]
Density functional theory data (PBE) for crystalline Nd2InSi at its relaxed geometry.

Cell: 4.262 4.262 8.181 Å, 74.90 74.90 60.00°
Element x y z (fractional)
1 Si 0.000 0.000 0.000
2 Nd 0.736 0.736 0.793
3 Nd 0.264 0.264 0.207
4 In 0.500 0.500 0.500

Summary:
total DFT energy (no corrections)	-19.31	eV per cell
formation energy from raw total energies	-0.40	eV per atom
total moment	0.00	μB per atom
DOS(E_F)	1.06	states/eV/atom


[2]
Density functional theory data (PBE) for crystalline Nb3ReGe at its relaxed geometry.

Cell: 4.670 4.670 4.670 Å, 90.00 90.00 90.00°
Element x y z (fractional)
1 Re 0.500 0.500 0.500
2 Nb 0.000 0.500 0.000
3 Nb 0.000 0.000 0.500
4 Nb 0.500 0.000 0.000
5 Ge 0.000 0.000 0.000

Summary:
total DFT energy (no corrections)	-41.01	eV per cell
total moment	0.00	μB per atom
E_form	1.254	eV per atom
DOS(E_F)	1.54	states/eV/atom


[3]
Density functional theory data (PBE) for crystalline TaPRh2 at its relaxed geometry.

Cell: 5.054 5.054 4.323 Å, 64.67 64.67 35.73°
Element x y z (fractional)
1 Ta 0.500 0.500 0.000
2 P 0.000 0.000 0.500
3 Rh 0.286 0.286 0.714
4 Rh 0.714 0.714 0.286

Summary:
total DFT energy (no corrections)	-34.29	eV per cell
total moment	0.00	μB per atom
E_form	-0.582	eV per atom
DOS(E_F)	0.61	states/eV/atom


[4]
Density functional theory data (PBE) for crystalline ScSiW3 at its relaxed geometry.

Cell: 4.604 4.604 4.604 Å, 90.00 90.00 90.00°
Element x y z (fractional)
1 Sc 0.000 0.000 0.000
2 Si 0.500 0.500 0.500
3 W 0.000 0.500 0.000
4 W 0.000 0.000 0.500
5 W 0.500 0.000 0.000

Summary:
total DFT energy (no corrections)	-37.65	eV per cell
formation energy from raw total energies	2.59	eV per atom
total moment	0.00	μB per atom
DOS(E_F)	0.85	states/eV/atom


[5]
Density functional theory data (PBE) for crystalline CsInGe2Sb at its relaxed geometry.

Cell: 5.479 6.835 5.479 Å, 90.00 90.00 90.00°
Element x y z (fractional)
1 Cs 0.000 0.500 0.000
2 Sb 0.000 0.000 0.000
3 Ge 0.000 0.000 0.500
4 Ge 0.500 0.000 0.000
5 In 0.500 0.500 0.500

Summary:
total DFT energy (no corrections)	-13.81	eV per cell
formation energy from raw total energies	0.63	eV per atom
total moment	0.00	μB per atom
DOS(E_F)	1.11	states/eV/atom


[6]
Density functional theory data (PBE) for crystalline HoHO2 at its relaxed geometry.

Cell: 3.502 3.502 9.203 Å, 90.00 90.00 120.00°
Element x y z (fractional)
1 Ho 0.000 0.000 0.000
2 Ho 0.000 0.000 0.500
3 H 0.333 0.667 0.250
4 H 0.667 0.333 0.750
5 O 0.333 0.667 0.117
6 O 0.333 0.667 0.383
7 O 0.667 0.333 0.883
8 O 0.667 0.333 0.617

Summary:
total DFT energy (no corrections)	-56.43	eV per cell
total moment	0.00	μB per atom
DOS(E_F)	0.00	states/eV/atom


[7]
Density functional theory data (PBE) for crystalline ZrGaOs at its relaxed geometry.

Cell: 6.131 4.465 9.773 Å, 90.00 128.58 90.00°
Element x y z (fractional)
1 Zr 0.705 0.000 0.175
2 Zr 0.705 0.500 0.675
3 Zr 0.289 0.000 0.259
4 Zr 0.289 0.500 0.759
5 Ga 0.316 0.000 0.562
6 Ga 0.316 0.500 0.062
7 Ga 0.867 0.000 0.561
8 Ga 0.867 0.500 0.061
9 Os 0.135 0.000 0.892
10 Os 0.135 0.500 0.392
11 Os 0.710 0.000 0.892
12 Os 0.710 0.500 0.392

Summary:
total DFT energy (no corrections)	-95.39	eV per cell
total moment	0.00	μB per atom
E_form	-0.347	eV per atom
DOS(E_F)	0.69	states/eV/atom


[8]
Density functional theory data (PBE) for crystalline Mn2Zn3Pt4 at its relaxed geometry.

Cell: 4.017 4.613 8.192 Å, 77.50 90.00 64.19°
Element x y z (fractional)
1 Mn 0.326 0.349 0.779
2 Mn 0.674 0.651 0.221
3 Zn 0.341 0.317 0.445
4 Zn 0.000 0.000 0.000
5 Zn 0.659 0.683 0.555
6 Pt 0.664 0.671 0.887
7 Pt 0.016 0.967 0.332
8 Pt 0.984 0.033 0.668
9 Pt 0.336 0.329 0.113

Summary:
total DFT energy (no corrections)	-50.31	eV per cell
total moment	0.91	μB per atom
E_form	-0.442	eV per atom
DOS(E_F)	0.43	states/eV/atom


[9]
Density functional theory data (PBE) for crystalline PmAl4Co at its relaxed geometry.

Cell: 4.022 6.846 7.672 Å, 90.00 90.00 90.00°
Element x y z (fractional)
1 Pm 0.000 0.616 0.750
2 Pm 0.000 0.384 0.250
3 Al 0.000 0.000 0.500
4 Al 0.000 0.000 0.000
5 Al 0.500 0.958 0.750
6 Al 0.500 0.042 0.250
7 Al 0.500 0.698 0.070
8 Al 0.500 0.302 0.930
9 Al 0.500 0.698 0.430
10 Al 0.500 0.302 0.570
11 Co 0.000 0.186 0.750
12 Co 0.000 0.814 0.250

Summary:
total DFT energy (no corrections)	-59.91	eV per cell
total moment	0.00	μB per atom
E_form	-0.522	eV per atom
DOS(E_F)	0.24	states/eV/atom


[10]
Density functional theory data (PBE) for crystalline LiZn2Ni2 at its relaxed geometry.

Cell: 7.107 7.107 2.634 Å, 90.00 90.00 90.00°
Element x y z (fractional)
1 Ni 0.376 0.876 0.000
2 Ni 0.876 0.624 0.000
3 Ni 0.624 0.124 0.000
4 Ni 0.124 0.376 0.000
5 Zn 0.172 0.672 0.500
6 Zn 0.672 0.828 0.500
7 Zn 0.828 0.328 0.500
8 Zn 0.328 0.172 0.500
9 Li 0.000 0.000 0.000
10 Li 0.500 0.500 0.000

Summary:
total DFT energy (no corrections)	-34.07	eV per cell
total moment	0.00	μB per atom
E_form	-0.202	eV per atom
DOS(E_F)	0.45	states/eV/atom


[11]
Density functional theory data (PBE) for crystalline Tl2BiCl5 at its relaxed geometry.

Cell: 8.312 8.864 13.101 Å, 90.00 90.00 90.00°
Element x y z (fractional)
1 Tl 0.432 0.506 0.834
2 Tl 0.568 0.494 0.166
3 Tl 0.932 0.494 0.666
4 Tl 0.568 0.006 0.166
5 Tl 0.068 0.506 0.334
6 Tl 0.432 0.994 0.834
7 Tl 0.068 0.994 0.334
8 Tl 0.932 0.006 0.666
9 Bi 0.437 0.250 0.503
10 Bi 0.563 0.750 0.497
11 Bi 0.937 0.750 0.997
12 Bi 0.063 0.250 0.003
13 Cl 0.087 0.250 0.511
14 Cl 0.913 0.750 0.489
15 Cl 0.587 0.750 0.989
16 Cl 0.413 0.250 0.011
17 Cl 0.329 0.951 0.563
18 Cl 0.671 0.049 0.437
19 Cl 0.829 0.049 0.937
20 Cl 0.671 0.451 0.437
21 Cl 0.171 0.951 0.063
22 Cl 0.329 0.549 0.563
23 Cl 0.171 0.549 0.063
24 Cl 0.829 0.451 0.937
25 Cl 0.146 0.250 0.801
26 Cl 0.854 0.750 0.199
27 Cl 0.646 0.750 0.699
28 Cl 0.354 0.250 0.301
29 Cl 0.603 0.250 0.686
30 Cl 0.397 0.750 0.314
31 Cl 0.103 0.750 0.814
32 Cl 0.897 0.250 0.186

Summary:
total DFT energy (no corrections)	-104.39	eV per cell
formation energy from raw total energies	-1.03	eV per atom
total moment	0.00	μB per atom
DOS(E_F)	0.00	states/eV/atom


[12]
Density functional theory data (PBE) for crystalline SrBeRu2 at its relaxed geometry.

Cell: 3.071 4.797 4.559 Å, 90.00 90.00 90.00°
Element x y z (fractional)
1 Ru 0.000 0.000 0.000
2 Ru 0.500 0.500 0.000
3 Be 0.000 0.500 0.500
4 Sr 0.500 0.000 0.500

Summary:
total DFT energy (no corrections)	-20.61	eV per cell
total moment	0.15	μB per atom
E_form	0.837	eV per atom
DOS(E_F)	1.25	states/eV/atom


[13]
Density functional theory data (PBE) for crystalline K2AlPt at its relaxed geometry.

Cell: 6.528 6.121 3.269 Å, 90.09 59.76 113.50°
Element x y z (fractional)
1 K 0.000 0.000 0.000
2 K 0.500 0.000 0.500
3 Al 0.500 0.500 0.000
4 Pt 0.000 0.500 0.500

Summary:
total DFT energy (no corrections)	-10.72	eV per cell
total moment	0.00	μB per atom
E_form	0.314	eV per atom
DOS(E_F)	0.57	states/eV/atom


[14]
Density functional theory data (PBE) for crystalline Ni3MoH at its relaxed geometry.

Cell: 3.709 3.709 3.709 Å, 90.00 90.00 90.00°
Element x y z (fractional)
1 Ni 0.000 0.500 0.000
2 Ni 0.000 0.000 0.500
3 Ni 0.500 0.000 0.000
4 Mo 0.500 0.500 0.500
5 H 0.000 0.000 0.000

Summary:
total DFT energy (no corrections)	-30.76	eV per cell
total moment	0.60	μB per atom
DOS(E_F)	0.76	states/eV/atom


[15]
Density functional theory data (PBE) for crystalline Gd2SiBi at its relaxed geometry.

Cell: 4.202 4.202 7.921 Å, 74.62 74.62 60.00°
Element x y z (fractional)
1 Si 0.000 0.000 0.000
2 Gd 0.739 0.739 0.782
3 Gd 0.261 0.261 0.218
4 Bi 0.500 0.500 0.500

Summary:
total DFT energy (no corrections)	-40.14	eV per cell
formation energy from raw total energies	-0.67	eV per atom
total moment	3.49	μB per atom
DOS(E_F)	0.60	states/eV/atom


[16]
Density functional theory data (PBE) for crystalline K5RbNaAu2 at its relaxed geometry.

Cell: 6.495 6.495 12.384 Å, 90.00 90.00 90.00°
Element x y z (fractional)
1 K 0.000 0.000 0.500
2 K 0.000 0.500 0.807
3 K 0.500 0.000 0.193
4 K 0.000 0.500 0.193
5 K 0.500 0.000 0.807
6 Rb 0.500 0.500 0.500
7 Na 0.000 0.000 0.000
8 Au 0.000 0.000 0.239
9 Au 0.000 0.000 0.761

Summary:
total DFT energy (no corrections)	-15.31	eV per cell
total moment	0.00	μB per atom
E_form	-0.109	eV per atom
DOS(E_F)	0.56	states/eV/atom


[17]
Density functional theory data (PBE) for crystalline K2Au at its relaxed geometry.

Cell: 8.004 8.004 8.008 Å, 90.01 90.01 30.90°
Element x y z (fractional)
1 Au 0.025 0.025 0.921
2 Au 0.253 0.253 0.422
3 K 0.653 0.653 0.699
4 K 0.625 0.625 0.199
5 K 0.911 0.911 0.546
6 K 0.367 0.367 0.046

Summary:
total DFT energy (no corrections)	-12.08	eV per cell
total moment	0.00	μB per atom
E_form	-0.190	eV per atom
DOS(E_F)	0.71	states/eV/atom


[18]
Density functional theory data (PBE) for crystalline NpFe2H6 at its relaxed geometry.

Cell: 4.352 4.352 6.021 Å, 110.26 110.26 121.38°
Element x y z (fractional)
1 Np 0.500 0.000 0.000
2 Fe 0.340 0.160 0.500
3 Fe 0.660 0.840 0.500
4 H 0.268 0.268 0.768
5 H 0.232 0.232 0.232
6 H 0.732 0.732 0.232
7 H 0.768 0.768 0.768
8 H 0.234 0.734 0.500
9 H 0.766 0.266 0.500

Summary:
total DFT energy (no corrections)	-50.52	eV per cell
total moment	0.80	μB per atom
DOS(E_F)	1.46	states/eV/atom


[19]
Density functional theory data (PBE) for crystalline Tb3Y2Ag2 at its relaxed geometry.

Cell: 3.727 6.712 9.206 Å, 114.73 90.00 106.12°
Element x y z (fractional)
1 Tb 0.500 0.000 0.000
2 Tb 0.612 0.224 0.447
3 Tb 0.388 0.776 0.553
4 Y 0.855 0.709 0.189
5 Y 0.145 0.291 0.811
6 Ag 0.828 0.655 0.774
7 Ag 0.172 0.345 0.226

Summary:
total DFT energy (no corrections)	-33.54	eV per cell
total moment	0.00	μB per atom
E_form	-0.145	eV per atom
DOS(E_F)	1.27	states/eV/atom


[20]
Density functional theory data (PBE) for crystalline MgCo2Sn3 at its relaxed geometry.

Cell: 6.449 6.415 6.415 Å, 120.00 90.00 90.00°
Element x y z (fractional)
1 Mg 0.297 0.667 0.333
2 Mg 0.703 0.333 0.667
3 Co 0.000 0.000 0.000
4 Co 0.000 0.500 0.500
5 Co 0.000 0.500 0.000
6 Co 0.000 0.000 0.500
7 Sn 0.713 0.338 0.169
8 Sn 0.713 0.831 0.662
9 Sn 0.713 0.831 0.169
10 Sn 0.287 0.169 0.831
11 Sn 0.287 0.662 0.831
12 Sn 0.287 0.169 0.338

Summary:
total DFT energy (no corrections)	-54.23	eV per cell
total moment	0.23	μB per atom
E_form	0.117	eV per atom
DOS(E_F)	0.70	states/eV/atom


[21]
Density functional theory data (PBE) for crystalline Ca4Sb2Au at its relaxed geometry.

Cell: 5.278 5.278 9.223 Å, 73.37 73.37 60.00°
Element x y z (fractional)
1 Sb 0.755 0.755 0.735
2 Sb 0.245 0.245 0.265
3 Ca 0.878 0.878 0.367
4 Ca 0.122 0.122 0.633
5 Ca 0.628 0.628 0.115
6 Ca 0.372 0.372 0.885
7 Au 0.000 0.000 0.000

Summary:
total DFT energy (no corrections)	-25.72	eV per cell
formation energy from raw total energies	-0.88	eV per atom
total moment	0.00	μB per atom
DOS(E_F)	0.51	states/eV/atom


[22]
Density functional theory data (PBE) for crystalline SiCl at its relaxed geometry.

Cell: 3.975 15.632 12.979 Å, 90.00 90.00 90.00°
Element x y z (fractional)
1 Si 0.000 0.000 0.796
2 Si 0.000 0.000 0.204
3 Si 0.250 0.750 0.454
4 Si 0.250 0.750 0.046
5 Si 0.000 0.500 0.296
6 Si 0.000 0.500 0.704
7 Si 0.250 0.250 0.954
8 Si 0.250 0.250 0.546
9 Si 0.500 0.000 0.296
10 Si 0.500 0.000 0.704
11 Si 0.750 0.750 0.954
12 Si 0.750 0.750 0.546
13 Si 0.500 0.500 0.796
14 Si 0.500 0.500 0.204
15 Si 0.750 0.250 0.454
16 Si 0.750 0.250 0.046
17 Cl 0.000 0.108 0.000
18 Cl 0.000 0.892 0.000
19 Cl 0.250 0.642 0.250
20 Cl 0.250 0.858 0.250
21 Cl 0.000 0.608 0.500
22 Cl 0.000 0.392 0.500
23 Cl 0.250 0.142 0.750
24 Cl 0.250 0.358 0.750
25 Cl 0.500 0.108 0.500
26 Cl 0.500 0.892 0.500
27 Cl 0.750 0.642 0.750
28 Cl 0.750 0.858 0.750
29 Cl 0.500 0.608 0.000
30 Cl 0.500 0.392 0.000
31 Cl 0.750 0.142 0.250
32 Cl 0.750 0.358 0.250

Summary:
total DFT energy (no corrections)	-118.70	eV per cell
formation energy from raw total energies	-0.07	eV per atom
total moment	0.00	μB per atom
DOS(E_F)	0.19	states/eV/atom


[23]
Density functional theory data (PBE) for crystalline ThAg3 at its relaxed geometry.

Cell: 4.522 5.716 7.493 Å, 90.00 90.00 113.30°
Element x y z (fractional)
1 Th 0.577 0.154 0.250
2 Th 0.423 0.846 0.750
3 Ag 0.714 0.429 0.750
4 Ag 0.286 0.571 0.250
5 Ag 0.129 0.257 0.556
6 Ag 0.871 0.743 0.444
7 Ag 0.129 0.257 0.944
8 Ag 0.871 0.743 0.056

Summary:
total DFT energy (no corrections)	-32.61	eV per cell
total moment	0.00	μB per atom
E_form	-0.082	eV per atom
DOS(E_F)	0.72	states/eV/atom